DFT (PBE) results for a geometry-optimized MgTl2N structure.

Calculated values
E_form (uncorrected): 0.273 eV/atom
DFT total energy: -3.391 eV per atom
Distance to the lowest polymorph of the same formula: 0 meV/atom
V: 24.10 A^3/atom

a = 7.2727 Å, b = 7.2727 Å, c = 7.2727 Å
α = 94.19°, β = 94.19°, γ = 148.62°
With the nearest neighbours (Å) after each atom.
Fractional positions:
Mg: 0.0000 0.0000 0.0000  2 N 1.97
Mg: 0.7500 0.2500 0.5000  2 N 1.97
Tl: 0.2572 0.6250 0.1322  2 N 2.78, 2 Mg 3.11
Tl: 0.3750 0.5072 0.6322  2 N 2.78, 2 Mg 3.11
Tl: 0.4928 0.1250 0.8678  2 N 2.78, 2 Mg 3.11
Tl: 0.8750 0.7428 0.3678  2 N 2.78, 2 Mg 3.11
N: 0.2500 0.7500 0.5000  2 Mg 1.97
N: 0.5000 0.5000 0.0000  2 Mg 1.97